(1)
Compound: CaMnZn2H
Source: the Alexandria database
Functional: PBE
Structure: relaxed

Cell lengths 4.324, 4.324, 4.245 Å; angles 90.00, 90.00, 90.00 degrees
Space group P4/mmm (No. 123)
Unique sites:
Ca1 0.000 0.000 0.000 (multiplicity 1)
Mn1 0.500 0.500 0.000 (multiplicity 1)
Zn1 0.000 0.500 0.500 (multiplicity 2)
H1 0.000 0.000 0.500 (multiplicity 1)

Total magnetic moment   3.57 μB/f.u.
DOS(E_F)   3.20 states/eV/f.u.
Final energy   -16.12 eV per formula unit


(2)
Compound: Ca2MoH6
Source: the Alexandria database
Functional: PBE
Structure: relaxed

Cell lengths 7.407, 7.407, 7.407 Å; angles 90.00, 90.00, 90.00 degrees
Space group Fm-3m (No. 225)
Unique sites:
Ca1 0.250 0.250 0.250 (multiplicity 8)
Mo1 0.000 0.000 0.000 (multiplicity 4)
H1 0.000 0.000 0.248 (multiplicity 24)

Total magnetic moment   2.00 μB/f.u.
DOS(E_F)   3.35 states/eV/f.u.
Final energy   -37.65 eV per formula unit


(3)
Compound: CaMoH
Source: the Alexandria database
Functional: PBE
Structure: relaxed

Cell lengths 10.599, 3.197, 5.498 Å; angles 90.00, 90.00, 90.00 degrees
Space group Amm2 (No. 38)
Unique sites:
Ca1 0.154 0.000 0.000 (multiplicity 4)
Mo1 0.393 0.000 0.662 (multiplicity 4)
H1 0.000 0.000 0.667 (multiplicity 2)
H2 0.500 0.000 0.995 (multiplicity 2)

Total magnetic moment   0.36 μB/f.u.
DOS(E_F)   2.43 states/eV/f.u.
Final energy   -15.06 eV per formula unit


(4)
Compound: Ca5MoH2N4
Source: the Alexandria database
Functional: PBE
Structure: relaxed

Cell lengths 7.042, 9.734, 5.767 Å; angles 90.00, 90.00, 90.00 degrees
Space group Amm2 (No. 38)
Unique sites:
Ca1 0.000 0.000 0.000 (multiplicity 2)
Ca2 0.265 0.176 0.457 (multiplicity 8)
Mo1 0.500 0.000 0.960 (multiplicity 2)
H1 0.000 0.225 0.183 (multiplicity 4)
N1 0.295 0.000 0.167 (multiplicity 4)
N2 0.500 0.163 0.772 (multiplicity 4)

Total magnetic moment   0.00 μB/f.u.
DOS(E_F)   2.15 states/eV/f.u.
Final energy   -69.58 eV per formula unit


(5)
Compound: CaNbMo2H
Source: the Alexandria database
Functional: PBE
Structure: relaxed

Cell lengths 5.079, 5.079, 3.621 Å; angles 90.00, 90.00, 90.00 degrees
Space group P4/mmm (No. 123)
Unique sites:
Ca1 0.000 0.000 0.000 (multiplicity 1)
Nb1 0.500 0.500 0.500 (multiplicity 1)
Mo1 0.000 0.500 0.500 (multiplicity 2)
H1 0.500 0.500 0.000 (multiplicity 1)

Total magnetic moment   2.68 μB/f.u.
DOS(E_F)   5.21 states/eV/f.u.
Final energy   -31.49 eV per formula unit